Below is a geometry-optimized TlSn2Hg2 structure, with properties calculated at the PBEsol level.

Lattice parameters (Å, degrees): 8.828 8.828 3.339 90.00 90.00 90.00
Element x y z (fractional)
Tl (0.000, 0.000, 0.000)
Tl (0.500, 0.500, 0.000)
Sn (0.143, 0.357, 0.500)
Sn (0.357, 0.857, 0.500)
Sn (0.643, 0.143, 0.500)
Sn (0.857, 0.643, 0.500)
Hg (0.156, 0.656, 0.000)
Hg (0.344, 0.156, 0.000)
Hg (0.656, 0.844, 0.000)
Hg (0.844, 0.344, 0.000)

Computed properties:
crystal system = tetragonal
energy relative to the elements = 0.031 eV per atom
ΔE to the lowest computed polymorph = 0.0 meV/atom

***

Below is a geometry-optimized YInOs2 structure, with properties calculated at the PBEsol level.

Lattice parameters (Å, degrees): 9.887 9.887 9.887 16.99 16.99 16.99
Element x y z (fractional)
Y (0.000, 0.000, 0.000)
In (0.764, 0.764, 0.764)
Os (0.245, 0.245, 0.245)
Os (0.510, 0.510, 0.510)

Computed properties:
crystal system = trigonal
energy relative to the elements = 0.465 eV per atom

***

Below is a geometry-optimized K2AlH2OF5 structure, with properties calculated at the PBEsol level.

Lattice parameters (Å, degrees): 6.143 6.143 7.506 90.00 90.00 79.68
Element x y z (fractional)
K (0.005, 0.404, 0.250)
K (0.404, 0.005, 0.750)
K (0.596, 0.995, 0.250)
K (0.995, 0.596, 0.750)
Al (0.500, 0.500, 0.000)
Al (0.500, 0.500, 0.500)
H (0.132, 0.868, 0.145)
H (0.132, 0.868, 0.355)
H (0.868, 0.132, 0.645)
H (0.868, 0.132, 0.855)
O (0.055, 0.945, 0.250)
O (0.945, 0.055, 0.750)
F (0.272, 0.728, 0.518)
F (0.272, 0.728, 0.982)
F (0.310, 0.310, 0.000)
F (0.310, 0.310, 0.500)
F (0.483, 0.517, 0.250)
F (0.517, 0.483, 0.750)
F (0.690, 0.690, 0.000)
F (0.690, 0.690, 0.500)
F (0.728, 0.272, 0.018)
F (0.728, 0.272, 0.482)

Computed properties:
crystal system = orthorhombic
E_tot = -114.5 eV for the cell shown